Record 1
An optimized crystal structure of Rb2NiBr5. Source: Alexandria via LeMat-Bulk, functional PBE.

Cell: 7.664 7.664 9.785 Å, 90.00 90.00 90.00°
Space group I4mm (No. 107)
Symmetry-distinct sites (fractional):
Rb: 0.000 0.500 0.000 (multiplicity 4)
Ni: 0.000 0.000 0.221 (multiplicity 2)
Br: 0.000 0.000 0.970 (multiplicity 2)
Br: 0.219 0.219 0.253 (multiplicity 8)

***

Record 2
An optimized crystal structure of RbNiBr. Source: Alexandria via LeMat-Bulk, functional PBE.

Output
Energy above the lowest structure with this stoichiometry = 204 meV/atom

Cell: 4.1912 4.1912 10.4769 Å, 90.00 90.00 120.00°
Space group P6_3/mmc (No. 194)
Symmetry-distinct sites (fractional):
Rb: 0.0000 0.0000 0.0000 (multiplicity 2)
Ni: 0.3333 0.6667 0.2500 (multiplicity 2)
Br: 0.3333 0.6667 0.7500 (multiplicity 2)

***

Record 3
An optimized crystal structure of RbNiBr. Source: Alexandria via LeMat-Bulk, functional PBE.

Output
Energy above the lowest structure with this stoichiometry = 203 meV/atom

Cell: 4.1953 4.1953 5.2283 Å, 90.00 90.00 120.00°
Space group P-6m2 (No. 187)
Symmetry-distinct sites (fractional):
Rb: 0.0000 0.0000 0.0000 (multiplicity 1)
Ni: 0.6667 0.3333 0.5000 (multiplicity 1)
Br: 0.3333 0.6667 0.5000 (multiplicity 1)

***

Record 4
An optimized crystal structure of Rb3Ni2Br8. Source: Alexandria via LeMat-Bulk, functional PBE.

Cell: 7.5129 7.5129 29.1832 Å, 90.00 90.00 120.00°
Space group R-3m (No. 166, hexagonal axes)
Symmetry-distinct sites (fractional):
Rb: 0.0000 0.0000 0.0000 (multiplicity 3)
Rb: 0.0000 0.0000 0.2110 (multiplicity 6)
Ni: 0.0000 0.0000 0.4101 (multiplicity 6)
Br: 0.0000 0.0000 0.3301 (multiplicity 6)
Br: 0.0088 0.5044 0.7693 (multiplicity 18)

***

Record 5
An optimized crystal structure of RbNiBr. Source: Alexandria via LeMat-Bulk, functional PBE.

Output
Energy above the lowest structure with this stoichiometry = 43 meV/atom

Cell: 13.143 3.648 7.244 Å, 90.00 97.29 90.00°
Space group C2/m (No. 12)
Symmetry-distinct sites (fractional):
Rb: 0.105 0.000 0.289 (multiplicity 4)
Ni: 0.209 0.000 0.905 (multiplicity 4)
Br: 0.127 0.500 0.717 (multiplicity 4)

***

Record 6
An optimized crystal structure of RbNiBr. Source: Alexandria via LeMat-Bulk, functional PBE.

Output
Energy above the lowest structure with this stoichiometry = 240 meV/atom

Cell: 5.8710 5.8710 8.8083 Å, 90.00 90.00 120.00°
Space group P6_3/mmc (No. 194)
Symmetry-distinct sites (fractional):
Rb: 0.3333 0.6667 0.2500 (multiplicity 2)
Ni: 0.0000 0.0000 0.0000 (multiplicity 2)
Br: 0.0000 0.0000 0.2500 (multiplicity 2)

***

Number 1: total magnetization 0.120 μB/atom, raw total energy -3.033 eV per atom, uncorrected formation energy -1023 meV per atom. Number 2: total magnetization 0.000 μB/atom, raw total energy -3.031 eV per atom, uncorrected formation energy -224 meV per atom. Number 3: total magnetization 0.000 μB/atom, raw total energy -3.032 eV per atom, uncorrected formation energy -225 meV per atom. Number 4: total magnetization 0.385 μB/atom, raw total energy -3.080 eV per atom, uncorrected formation energy -938 meV per atom. Number 5: total magnetization 0.000 μB/atom, raw total energy -3.193 eV per atom, uncorrected formation energy -386 meV per atom. Number 6: total magnetization 0.000 μB/atom, raw total energy -2.995 eV per atom, uncorrected formation energy -188 meV per atom.